No. 1
12
Lattice="4.269 -2.463 0.000 4.269 2.463 0.000 -2.848 0.000 14.924" Properties=species:S:1:pos:R:3 comment="Li2Tm5Pb5, optimized geometry, DFT PBE" m_tot_mub_per_cell=0.0 delta_e_f_ev_per_atom=-0.398 spacegroup="C2/m (12)" pbc="T T T"
Li 0.004 0.000 3.015
Li 5.685 0.000 11.909
Tm -0.003 0.000 10.041
Tm -0.006 0.000 13.649
Tm 2.845 0.000 7.462
Tm 5.695 0.000 1.275
Tm 5.692 0.000 4.883
Pb 0.000 0.000 0.000
Pb -0.001 0.000 6.136
Pb 2.849 0.000 3.088
Pb 2.840 0.000 11.836
Pb 5.690 0.000 8.788

No. 2
4
Lattice="3.571 0.000 0.000 0.000 3.571 0.000 0.000 0.000 7.898" Properties=species:S:1:pos:R:3 comment="LiTmPb2, optimized geometry, DFT PBE" m_tot_mub_per_cell=0.0 delta_e_f_ev_per_atom=-0.308 spacegroup="P4/mmm (123)" pbc="T T T"
Li 0.000 0.000 0.000
Tm 0.000 0.000 3.949
Pb 1.785 1.785 1.791
Pb 1.785 1.785 6.107

Repeat the second record exactly.
4
Lattice="3.571 0.000 0.000 0.000 3.571 0.000 0.000 0.000 7.898" Properties=species:S:1:pos:R:3 comment="LiTmPb2, optimized geometry, DFT PBE" m_tot_mub_per_cell=0.0 delta_e_f_ev_per_atom=-0.308 spacegroup="P4/mmm (123)" pbc="T T T"
Li 0.000 0.000 0.000
Tm 0.000 0.000 3.949
Pb 1.785 1.785 1.791
Pb 1.785 1.785 6.107